(1)
First-principles (PBE) data for a geometry-optimized Al8Zn6Ga structure, as listed in the Alexandria database.

a b c (Å): 5.3495 7.5537 7.5537
angles (deg): 120.00 90.00 90.00
Last column: nearest neighbours and their distance in Å.
Atoms (fractional coordinates):
1 Al 0.8943 0.6866 0.6465  4 Zn 2.67-2.86, 5 Al 2.77-2.92
2 Al 0.2329 0.6667 0.3333  6 Zn 2.77-3.05, 6 Al 2.83-2.92
3 Al 0.1057 0.3134 0.3535  4 Zn 2.67-2.86, 5 Al 2.77-2.92
4 Al 0.8943 0.3535 0.0401  4 Zn 2.67-2.86, 5 Al 2.77-2.92
5 Al 0.8943 0.9599 0.3134  4 Zn 2.67-2.86, 5 Al 2.77-2.92
6 Al 0.7671 0.3333 0.6667  6 Zn 2.77-3.05, 6 Al 2.83-2.92
7 Al 0.1057 0.0401 0.6866  4 Zn 2.67-2.86, 5 Al 2.77-2.92
8 Al 0.1057 0.6465 0.9599  4 Zn 2.67-2.86, 5 Al 2.77-2.92
9 Zn 0.3930 0.0288 0.3618  3 Zn 2.60-2.87, 5 Al 2.67-2.86, 1 Ga 2.69
10 Zn 0.3930 0.6382 0.6670  3 Zn 2.60-2.87, 5 Al 2.67-2.86, 1 Ga 2.69
11 Zn 0.6070 0.3618 0.3330  3 Zn 2.60-2.87, 5 Al 2.67-2.86, 1 Ga 2.69
12 Zn 0.3930 0.3330 0.9712  3 Zn 2.60-2.87, 5 Al 2.67-2.86, 1 Ga 2.69
13 Zn 0.6070 0.9712 0.6382  3 Zn 2.60-2.87, 5 Al 2.67-2.86, 1 Ga 2.69
14 Zn 0.6070 0.6670 0.0288  3 Zn 2.60-2.87, 5 Al 2.67-2.86, 1 Ga 2.69
15 Ga 0.5000 0.0000 0.0000  6 Zn 2.69

Calculated values
ΔE_f	0.139	eV/atom
space-group type	P-3, No. 147



(2)
First-principles (PBE) data for a geometry-optimized AlZn2Ga2 structure, as listed in the Alexandria database.

a b c (Å): 7.4617 7.4617 3.1774
angles (deg): 90.00 90.00 90.00
Last column: nearest neighbours and their distance in Å.
Atoms (fractional coordinates):
1 Ga 0.6789 0.8211 0.5000  6 Zn 2.62-2.79
2 Ga 0.1789 0.6789 0.5000  6 Zn 2.62-2.79
3 Ga 0.3211 0.1789 0.5000  6 Zn 2.62-2.79
4 Ga 0.8211 0.3211 0.5000  6 Zn 2.62-2.79
5 Zn 0.8768 0.6232 0.0000  1 Zn 2.60, 6 Ga 2.62-2.79
6 Zn 0.6232 0.1232 0.0000  1 Zn 2.60, 6 Ga 2.62-2.79
7 Zn 0.3768 0.8768 0.0000  1 Zn 2.60, 6 Ga 2.62-2.79
8 Zn 0.1232 0.3768 0.0000  1 Zn 2.60, 6 Ga 2.62-2.79
9 Al 0.0000 0.0000 0.0000  4 Zn 2.96, 8 Ga 3.17, 2 Al 3.18
10 Al 0.5000 0.5000 0.0000  4 Zn 2.96, 8 Ga 3.17, 2 Al 3.18

Calculated values
ΔE_f	0.119	eV/atom
space-group type	P4/mbm, No. 127



(3)
First-principles (PBE) data for a geometry-optimized AlZn5Ga6 structure, as listed in the Alexandria database.

a b c (Å): 6.4230 6.4230 5.0625
angles (deg): 98.12 98.12 91.87
Last column: nearest neighbours and their distance in Å.
Atoms (fractional coordinates):
1 Zn 0.3185 0.6815 0.0000  6 Ga 2.76-2.78, 1 Al 2.94, 4 Zn 2.95-3.04
2 Zn 0.8446 0.1554 0.5000  6 Ga 2.81-2.84, 3 Zn 2.87-2.95, 2 Al 2.91
3 Zn 0.6815 0.3185 0.0000  6 Ga 2.76-2.78, 1 Al 2.94, 4 Zn 2.95-3.04
4 Zn 0.5000 0.5000 0.5000  6 Ga 2.74-2.75, 4 Zn 3.04
5 Zn 0.1554 0.8446 0.5000  6 Ga 2.81-2.84, 3 Zn 2.87-2.95, 2 Al 2.91
6 Ga 0.7386 0.7386 0.2348  5 Zn 2.74-2.84, 1 Al 2.83, 4 Ga 2.93-3.00
7 Ga 0.2614 0.2614 0.7652  5 Zn 2.74-2.84, 1 Al 2.83, 4 Ga 2.93-3.00
8 Ga 0.0886 0.4228 0.2561  5 Zn 2.75-2.81, 1 Al 2.84, 5 Ga 2.92-3.08
9 Ga 0.5772 0.9114 0.7439  5 Zn 2.75-2.81, 1 Al 2.84, 5 Ga 2.92-3.08
10 Ga 0.4228 0.0886 0.2561  5 Zn 2.75-2.81, 1 Al 2.84, 5 Ga 2.92-3.08
11 Ga 0.9114 0.5772 0.7439  5 Zn 2.75-2.81, 1 Al 2.84, 5 Ga 2.92-3.08
12 Al 0.0000 0.0000 0.0000  6 Ga 2.83-2.84, 6 Zn 2.91-2.94

Calculated values
ΔE_f	0.039	eV/atom
space-group type	C2/m, No. 12



(4)
First-principles (PBE) data for a geometry-optimized Al6Zn5Ga structure, as listed in the Alexandria database.

a b c (Å): 9.6056 4.8508 4.8610
angles (deg): 60.07 84.98 79.89
Last column: nearest neighbours and their distance in Å.
Atoms (fractional coordinates):
1 Al 0.2529 0.2498 0.0000  6 Al 2.80-2.81, 5 Zn 2.84-2.88, 1 Ga 2.90
2 Al 0.7470 0.0845 0.3347  6 Al 2.80-2.82, 5 Zn 2.84-2.89, 1 Ga 2.89
3 Al 0.2530 0.9155 0.6653  6 Al 2.80-2.82, 5 Zn 2.84-2.89, 1 Ga 2.89
4 Al 0.7471 0.7502 0.0000  6 Al 2.80-2.81, 5 Zn 2.84-2.88, 1 Ga 2.90
5 Al 0.2530 0.5808 0.3347  6 Al 2.80-2.82, 5 Zn 2.84-2.89, 1 Ga 2.89
6 Al 0.7470 0.4192 0.6653  6 Al 2.80-2.82, 5 Zn 2.84-2.89, 1 Ga 2.89
7 Ga 0.0000 0.0000 0.0000  6 Zn 2.80-2.81, 6 Al 2.89-2.90
8 Zn 0.5000 0.1659 0.6683  6 Zn 2.79-2.82, 6 Al 2.84-2.85
9 Zn 0.0000 0.3335 0.3330  3 Ga 2.80-2.81, 3 Zn 2.80-2.81, 6 Al 2.88-2.89
10 Zn 0.0000 0.6665 0.6670  3 Ga 2.80-2.81, 3 Zn 2.80-2.81, 6 Al 2.88-2.89
11 Zn 0.5000 0.5000 0.0000  6 Zn 2.80-2.82, 6 Al 2.84-2.85
12 Zn 0.5000 0.8341 0.3317  6 Zn 2.79-2.82, 6 Al 2.84-2.85

Calculated values
ΔE_f	0.018	eV/atom
space-group type	C2/m, No. 12



(5)
First-principles (PBE) data for a geometry-optimized Al8ZnGa6 structure, as listed in the Alexandria database.

a b c (Å): 7.2898 7.2898 7.2898
angles (deg): 59.62 59.62 59.62
Last column: nearest neighbours and their distance in Å.
Atoms (fractional coordinates):
1 Ga 0.4295 0.6016 0.1452  3 Al 2.61-2.83, 3 Ga 2.68-2.89
2 Ga 0.1452 0.4295 0.6016  3 Al 2.61-2.83, 3 Ga 2.68-2.89
3 Ga 0.5705 0.3985 0.8548  3 Al 2.61-2.83, 3 Ga 2.68-2.89
4 Ga 0.3985 0.8548 0.5705  3 Al 2.61-2.83, 3 Ga 2.68-2.89
5 Ga 0.8548 0.5705 0.3985  3 Al 2.61-2.83, 3 Ga 2.68-2.89
6 Ga 0.6016 0.1452 0.4295  3 Al 2.61-2.83, 3 Ga 2.68-2.89
7 Al 0.1172 0.8874 0.3568  2 Ga 2.61-2.83, 3 Al 2.64-2.91, 1 Zn 2.75
8 Al 0.7479 0.7479 0.7479  6 Ga 2.74-3.01, 6 Al 2.91
9 Al 0.1126 0.6432 0.8828  2 Ga 2.61-2.83, 3 Al 2.64-2.91, 1 Zn 2.75
10 Al 0.3568 0.1172 0.8874  2 Ga 2.61-2.83, 3 Al 2.64-2.91, 1 Zn 2.75
11 Al 0.6432 0.8828 0.1126  2 Ga 2.61-2.83, 3 Al 2.64-2.91, 1 Zn 2.75
12 Al 0.8828 0.1126 0.6432  2 Ga 2.61-2.83, 3 Al 2.64-2.91, 1 Zn 2.75
13 Al 0.2521 0.2521 0.2521  6 Ga 2.74-3.01, 6 Al 2.91
14 Al 0.8874 0.3568 0.1172  2 Ga 2.61-2.83, 3 Al 2.64-2.91, 1 Zn 2.75
15 Zn 0.0000 0.0000 0.0000  6 Al 2.75

Calculated values
ΔE_f	0.086	eV/atom
space-group type	R-3, No. 148



(6)
First-principles (PBE) data for a geometry-optimized Al6ZnGa8 structure, as listed in the Alexandria database.

a b c (Å): 6.3253 7.1582 7.1582
angles (deg): 120.00 90.00 90.00
Last column: nearest neighbours and their distance in Å.
Atoms (fractional coordinates):
1 Ga 0.8879 0.3126 0.9711  4 Al 2.69-2.90, 4 Ga 2.74-2.88
2 Ga 0.1121 0.9711 0.6585  4 Al 2.69-2.90, 4 Ga 2.74-2.88
3 Ga 0.3859 0.6667 0.3333  6 Al 2.67-2.72, 3 Ga 2.84
4 Ga 0.8879 0.6585 0.6874  4 Al 2.69-2.90, 4 Ga 2.74-2.88
5 Ga 0.1121 0.6874 0.0289  4 Al 2.69-2.90, 4 Ga 2.74-2.88
6 Ga 0.1121 0.3415 0.3126  4 Al 2.69-2.90, 4 Ga 2.74-2.88
7 Ga 0.8879 0.0289 0.3415  4 Al 2.69-2.90, 4 Ga 2.74-2.88
8 Ga 0.6141 0.3333 0.6667  6 Al 2.67-2.72, 3 Ga 2.84
9 Zn 0.5000 0.0000 0.0000  6 Al 2.67
10 Al 0.3361 0.6330 0.6861  1 Zn 2.67, 6 Ga 2.67-2.90
11 Al 0.3361 0.0531 0.3670  1 Zn 2.67, 6 Ga 2.67-2.90
12 Al 0.6639 0.6861 0.0531  1 Zn 2.67, 6 Ga 2.67-2.90
13 Al 0.3361 0.3139 0.9469  1 Zn 2.67, 6 Ga 2.67-2.90
14 Al 0.6639 0.3670 0.3139  1 Zn 2.67, 6 Ga 2.67-2.90
15 Al 0.6639 0.9469 0.6330  1 Zn 2.67, 6 Ga 2.67-2.90

Calculated values
ΔE_f	0.082	eV/atom
space-group type	P-3, No. 147



(7)
First-principles (PBE) data for a geometry-optimized Al2Zn5Ga structure, as listed in the Alexandria database.

a b c (Å): 3.2302 6.6884 6.6884
angles (deg): 78.62 76.03 76.03
Last column: nearest neighbours and their distance in Å.
Atoms (fractional coordinates):
1 Al 0.2710 0.2290 0.2290  7 Zn 2.62-2.76, 2 Ga 2.77
2 Al 0.7290 0.7710 0.7710  7 Zn 2.62-2.76, 2 Ga 2.77
3 Zn 0.3658 0.8459 0.4225  3 Al 2.62-2.76, 5 Zn 2.64-2.87
4 Zn 0.3658 0.4225 0.8459  3 Al 2.62-2.76, 5 Zn 2.64-2.87
5 Zn 0.0000 0.5000 0.5000  2 Al 2.66, 8 Zn 2.75
6 Zn 0.6342 0.5775 0.1541  3 Al 2.62-2.76, 5 Zn 2.64-2.87
7 Zn 0.6342 0.1541 0.5775  3 Al 2.62-2.76, 5 Zn 2.64-2.87
8 Ga 0.0000 0.0000 0.0000  4 Al 2.77

Calculated values
ΔE_f	0.077	eV/atom
space-group type	Immm, No. 71



(8)
First-principles (PBE) data for a geometry-optimized AlZn2Ga5 structure, as listed in the Alexandria database.

a b c (Å): 5.6185 6.3424 5.7078
angles (deg): 98.46 117.26 118.30
Last column: nearest neighbours and their distance in Å.
Atoms (fractional coordinates):
1 Ga 0.7778 0.2784 0.0004  4 Zn 2.76-2.85, 6 Ga 2.81-3.08
2 Ga 0.2767 0.2766 0.9996  6 Ga 2.76-2.85, 2 Zn 2.95, 2 Al 3.07-3.09
3 Ga 0.7773 0.7768 0.4992  6 Ga 2.76-3.09, 2 Zn 2.81, 2 Al 2.85
4 Ga 0.2784 0.7777 0.9998  4 Zn 2.76-2.85, 2 Al 2.81, 4 Ga 2.95-3.08
5 Ga 0.2780 0.2787 0.5006  2 Al 2.76, 2 Zn 2.81, 6 Ga 2.85-3.09
6 Al 0.7789 0.7786 0.0004  8 Ga 2.76-3.09, 2 Zn 2.95
7 Zn 0.7775 0.2776 0.5002  8 Ga 2.76-2.95, 2 Zn 3.08-3.09
8 Zn 0.2785 0.7786 0.4999  6 Ga 2.76-2.85, 2 Al 2.95, 2 Zn 3.08-3.09

Calculated values
ΔE_f	0.043	eV/atom
space-group type	P1, No. 1



(9)
First-principles (PBE) data for a geometry-optimized AlZnGa5 structure, as listed in the Alexandria database.

a b c (Å): 4.2282 4.2282 7.3138
angles (deg): 90.00 90.00 90.00
Last column: nearest neighbours and their distance in Å.
Atoms (fractional coordinates):
1 Ga 0.5000 0.0000 0.7274  2 Zn 2.69, 2 Al 2.91, 6 Ga 2.91-2.99
2 Ga 0.5000 0.5000 0.0000  8 Ga 2.91, 4 Al 2.99
3 Ga 0.0000 0.5000 0.2726  2 Zn 2.69, 6 Ga 2.91-2.99, 2 Al 2.91
4 Ga 0.0000 0.5000 0.7274  2 Zn 2.69, 2 Al 2.91, 6 Ga 2.91-2.99
5 Ga 0.5000 0.0000 0.2726  2 Zn 2.69, 6 Ga 2.91-2.99, 2 Al 2.91
6 Zn 0.0000 0.0000 0.5000  8 Ga 2.69
7 Al 0.0000 0.0000 0.0000  12 Ga 2.91-2.99

Calculated values
ΔE_f	0.067	eV/atom
space-group type	P4/mmm, No. 123



(10)
First-principles (PBE) data for a geometry-optimized Al2Zn3Ga2 structure, as listed in the Alexandria database.

a b c (Å): 3.9352 5.5371 6.4731
angles (deg): 112.56 107.70 90.00
Last column: nearest neighbours and their distance in Å.
Atoms (fractional coordinates):
1 Zn 0.7827 0.1708 0.5653  3 Zn 2.56-2.62, 3 Al 2.69-2.72, 3 Ga 2.73-2.87
2 Zn 0.0000 0.5000 0.0000  2 Zn 2.56, 4 Ga 2.60, 2 Al 2.66
3 Zn 0.2173 0.8292 0.4347  3 Zn 2.56-2.62, 3 Al 2.69-2.72, 3 Ga 2.73-2.87
4 Ga 0.5490 0.8353 0.0980  1 Ga 2.56, 3 Zn 2.60-2.73
5 Ga 0.4510 0.1647 0.9020  1 Ga 2.56, 3 Zn 2.60-2.73
6 Al 0.1663 0.3085 0.3326  5 Zn 2.66-2.96
7 Al 0.8337 0.6915 0.6674  5 Zn 2.66-2.96

Calculated values
ΔE_f	0.077	eV/atom
space-group type	C2/m, No. 12



E for the records above, in order: -2.568, -2.350, -2.317, -2.637, -3.206, -3.114, -2.034, -2.635, -2.812, -2.403 eV per atom